No. 1
Compound: NaPr5Se6
Source: OQMD
Functional: PBE
Structure: optimized geometry

Structure (POSCAR):
```
NaPr5Se6
1.0
3.682 -6.380 0.000
3.682 6.380 0.000
-2.462 0.000 6.960
Na Pr Se
1 5 6
direct
0.000 0.000 0.000
0.165 0.835 0.500
0.334 0.666 0.000
0.500 0.500 0.500
0.666 0.334 0.000
0.835 0.165 0.500
0.082 0.412 0.249
0.246 0.246 0.755
0.412 0.082 0.249
0.588 0.918 0.751
0.754 0.754 0.245
0.918 0.588 0.751
```

Properties
symmetry: C2/m, No. 12
final energy: -67.72 eV for the cell shown

---

No. 2
Compound: DyTmCo2B2C2
Source: OQMD
Functional: PBE
Structure: optimized geometry

Structure (POSCAR):
```
DyTmCo2B2C2
1.0
3.521 0.000 0.000
0.000 3.521 0.000
0.000 0.000 7.630
Dy Tm Co B C
1 1 2 2 2
direct
0.000 0.000 0.000
0.500 0.500 0.669
0.000 0.500 0.334
0.500 0.000 0.334
0.000 0.000 0.485
0.500 0.500 0.182
0.000 0.000 0.682
0.500 0.500 0.984
```

Properties
symmetry: P4mm, No. 99
final energy: -58.56 eV for the cell shown

---

No. 3
Compound: KCuF5
Source: OQMD
Functional: PBE
Structure: optimized geometry

Structure (POSCAR):
```
KCuF5
1.0
4.370 -2.771 0.000
4.370 2.771 0.000
-3.458 0.000 6.964
K Cu F
2 2 10
direct
0.000 0.000 0.250
0.000 0.000 0.750
0.500 0.500 0.000
0.500 0.500 0.500
0.110 0.577 0.922
0.111 0.573 0.421
0.423 0.890 0.578
0.427 0.889 0.079
0.500 0.500 0.250
0.500 0.500 0.750
0.573 0.111 0.921
0.577 0.110 0.422
0.889 0.427 0.579
0.890 0.423 0.078
```

Properties
symmetry: C2/c, No. 15
final energy: -50.46 eV for the cell shown

---

No. 4
Compound: CdW4AuC2
Source: OQMD
Functional: PBE
Structure: optimized geometry

Structure (POSCAR):
```
CdW4AuC2
1.0
3.098 0.000 0.000
-1.549 2.683 0.000
0.000 0.000 13.984
Cd W Au C
1 4 1 2
direct
0.000 0.000 0.000
0.000 0.000 0.336
0.000 0.000 0.664
0.333 0.667 0.174
0.333 0.667 0.826
0.333 0.667 0.500
0.667 0.333 0.255
0.667 0.333 0.745
```

Properties
symmetry: P-6m2, No. 187
final energy: -72.70 eV for the cell shown

---

No. 5
Compound: Tl2GaAu
Source: OQMD
Functional: PBE
Structure: optimized geometry

Structure (POSCAR):
```
Tl2GaAu
1.0
0.000 3.665 3.665
3.665 0.000 3.665
3.665 3.665 0.000
Tl Ga Au
2 1 1
direct
0.000 0.000 0.000
0.250 0.250 0.250
0.500 0.500 0.500
0.750 0.750 0.750
```

Properties
symmetry: F-43m, No. 216
final energy: -10.63 eV for the cell shown

---

No. 6
Compound: KAgSeO3
Source: OQMD
Functional: PBE
Structure: optimized geometry

Structure (POSCAR):
```
KAgSeO3
1.0
4.882 0.000 0.000
0.205 5.852 0.000
2.276 1.612 6.754
K Ag Se O
2 2 2 6
direct
0.141 0.308 0.260
0.859 0.692 0.740
0.232 0.856 0.050
0.768 0.144 0.950
0.427 0.237 0.638
0.573 0.763 0.362
0.217 0.757 0.363
0.260 0.354 0.838
0.331 0.939 0.730
0.669 0.061 0.270
0.740 0.646 0.162
0.783 0.243 0.637
```

Properties
symmetry: P-1, No. 2
final energy: -56.12 eV for the cell shown

---

No. 7
Compound: Nb4Tl3Mo2C3
Source: OQMD
Functional: PBE
Structure: optimized geometry

Structure (POSCAR):
```
Nb4Tl3Mo2C3
1.0
4.854 -2.801 0.000
4.854 2.801 0.000
-3.246 0.000 14.229
Nb Tl Mo C
8 6 4 6
direct
0.023 0.198 0.081
0.144 0.305 0.419
0.198 0.023 0.581
0.305 0.144 0.919
0.695 0.856 0.081
0.802 0.977 0.419
0.856 0.695 0.581
0.977 0.802 0.919
0.091 0.909 0.250
0.261 0.414 0.749
0.414 0.261 0.249
0.586 0.739 0.751
0.739 0.586 0.251
0.909 0.091 0.750
0.363 0.525 0.075
0.475 0.637 0.425
0.525 0.363 0.575
0.637 0.475 0.925
0.000 0.500 0.000
0.165 0.668 0.500
0.332 0.835 0.000
0.500 0.000 0.500
0.668 0.165 0.000
0.835 0.332 0.500
```

Properties
symmetry: C2/c, No. 15
final energy: -196.77 eV for the cell shown

---

No. 8
Compound: Pr10S19
Source: OQMD
Functional: PBE
Structure: optimized geometry

Structure (POSCAR):
```
Pr10S19
1.0
9.013 0.000 0.000
0.000 9.013 0.000
0.000 0.000 16.302
Pr S
20 38
direct
0.041 0.348 0.122
0.056 0.354 0.603
0.146 0.056 0.897
0.152 0.041 0.378
0.250 0.750 0.114
0.250 0.750 0.614
0.348 0.459 0.378
0.354 0.444 0.897
0.444 0.146 0.603
0.459 0.152 0.122
0.541 0.848 0.878
0.556 0.854 0.397
0.646 0.556 0.103
0.652 0.541 0.622
0.750 0.250 0.386
0.750 0.250 0.886
0.848 0.959 0.622
0.854 0.944 0.103
0.944 0.646 0.397
0.959 0.652 0.878
0.030 0.804 0.249
0.049 0.348 0.426
0.053 0.352 0.938
0.078 0.889 0.750
0.111 0.578 0.250
0.148 0.053 0.562
0.152 0.049 0.074
0.196 0.530 0.749
0.250 0.250 0.250
0.250 0.750 0.434
0.250 0.750 0.934
0.304 0.970 0.749
0.348 0.451 0.074
0.352 0.447 0.562
0.389 0.922 0.250
0.422 0.611 0.750
0.447 0.148 0.938
0.451 0.152 0.426
0.470 0.696 0.249
0.530 0.304 0.751
0.549 0.848 0.574
0.553 0.852 0.062
0.578 0.389 0.250
0.611 0.078 0.750
0.648 0.553 0.438
0.652 0.549 0.926
0.696 0.030 0.251
0.750 0.250 0.066
0.750 0.250 0.566
0.750 0.750 0.750
0.804 0.470 0.251
0.848 0.951 0.926
0.852 0.947 0.438
0.889 0.422 0.750
0.922 0.111 0.250
0.947 0.648 0.062
0.951 0.652 0.574
0.970 0.196 0.751
```

Properties
symmetry: P4_2/n, No. 86
final energy: -356.89 eV for the cell shown